{"formula": "CuBi2Os", "functional": "meta-GGA SCAN", "state": "single point on PBEsol structure", "vol_a3_per_cell": 78, "e_tot_ry_per_atom": -4.42891, "lattice_angstrom": [[4.789, 0.000, 0.000], [2.394, 4.147, 0.000], [2.394, 1.382, 3.910]], "species": ["Os", "Bi", "Bi", "Cu"], "frac_coords": [[0.500, 0.500, 0.500], [0.250, 0.250, 0.250], [0.750, 0.750, 0.750], [0.000, 0.000, 0.000]]}